1.
! PBEsol Al3Ag5, optimized geometry; values from VASP
! Total magnetic moment in μB/atom: 0.0000
! ΔE to the lowest computed polymorph in eV per formula unit: 0.107
! V in Å³ per cell: 129.0
! Calculated formation energy in eV/atom: -0.080
! Theoretical density in g/cm³: 8.0
&SYSTEM
  ibrav = 0, nat = 8, ntyp = 2
/
ATOMIC_SPECIES
Al 26.98 Al.upf
Ag 107.87 Ag.upf
CELL_PARAMETERS angstrom
2.987 -3.864 0.000
2.987 3.864 0.000
0.000 0.000 5.587
ATOMIC_POSITIONS angstrom
Al 0.000 0.000 0.000
Al 1.493 1.932 4.014
Al 1.493 -1.932 4.014
Ag 0.000 0.000 2.786
Ag 1.493 1.932 1.208
Ag 1.493 -1.932 1.208
Ag 2.987 0.000 2.666
Ag 2.987 0.000 5.392


2.
! PBEsol Al3Ag, optimized geometry; values from VASP
! Total magnetic moment in μB/atom: 0.0001
! V in Å³ per cell: 65.0
! Calculated formation energy in eV/atom: -0.018
! Theoretical density in g/cm³: 4.8
&SYSTEM
  ibrav = 0, nat = 4, ntyp = 2
/
ATOMIC_SPECIES
Al 26.98 Al.upf
Ag 107.87 Ag.upf
CELL_PARAMETERS angstrom
2.799 -3.965 0.000
2.799 3.965 0.000
0.000 0.000 2.928
ATOMIC_POSITIONS angstrom
Al 0.000 0.000 0.000
Al 1.399 1.982 1.464
Al 1.399 -1.982 1.464
Ag 2.799 0.000 0.000


3.
! PBEsol AlAg2, optimized geometry; values from VASP
! Total magnetic moment in μB/atom: 0.0000
! V in Å³ per cell: 192.7
! Calculated formation energy in eV/atom: -0.092
! Theoretical density in g/cm³: 8.4
&SYSTEM
  ibrav = 0, nat = 12, ntyp = 2
/
ATOMIC_SPECIES
Al 26.98 Al.upf
Ag 107.87 Ag.upf
CELL_PARAMETERS angstrom
-2.001 2.001 12.029
2.001 -2.001 12.029
2.001 2.001 -12.029
ATOMIC_POSITIONS angstrom
Al 2.001 1.001 1.038
Al 2.001 1.001 4.976
Al 0.000 1.001 7.053
Al 0.000 1.001 10.990
Ag 2.001 -1.001 6.970
Ag 2.001 1.001 -3.008
Ag 2.001 -1.001 11.073
Ag 0.000 1.001 3.006
Ag 2.001 1.001 9.023
Ag 0.000 3.002 0.956
Ag 0.000 1.001 15.037
Ag 0.000 3.002 5.059


4.
! PBEsol Al7Ag5, optimized geometry; values from VASP
! Total magnetic moment in μB/atom: 0.0000
! ΔE to the lowest computed polymorph in eV per formula unit: 0.166
! V in Å³ per cell: 194.8
! Calculated formation energy in eV/atom: -0.043
! Theoretical density in g/cm³: 6.2
&SYSTEM
  ibrav = 0, nat = 12, ntyp = 2
/
ATOMIC_SPECIES
Al 26.98 Al.upf
Ag 107.87 Ag.upf
CELL_PARAMETERS angstrom
2.764 -4.012 0.000
2.764 4.012 0.000
0.000 0.000 8.784
ATOMIC_POSITIONS angstrom
Al 0.000 0.000 0.000
Al 1.382 2.006 4.385
Al 1.382 2.006 7.322
Al 1.382 -2.006 1.462
Al 1.382 -2.006 4.399
Al 2.764 0.000 2.918
Al 2.764 0.000 5.866
Ag 0.000 0.000 2.941
Ag 0.000 0.000 5.842
Ag 1.382 2.006 1.469
Ag 1.382 -2.006 7.315
Ag 2.764 0.000 0.000